[1]
# CuMo2OsN

A relaxed CuMo2OsN crystal (GGA-PBE, the Alexandria database).

Values from the calculation:
**Space group**: P4/mmm (123)
**Magnetization**: 0.0000 μB/atom
**Uncorrected energy**: -37.2 eV for the cell shown

Cell lengths 4.7737, 3.2355, 4.7737 Å; angles 90.00, 90.00, 90.00 degrees
Closest atoms and distances in Å follow each position.
Element x y z (fractional)
Os  0.5000  0.5000  0.5000  8 Mo 2.88
Cu  0.0000  0.0000  0.0000  2 N 1.62
N  0.0000  0.5000  0.0000  2 Cu 1.62
Mo  0.0000  0.0000  0.5000  2 Cu 2.39
Mo  0.5000  0.0000  0.0000  2 Cu 2.39



[2]
# Pa2Zn3In

A relaxed Pa2Zn3In crystal (GGA-PBE, the Alexandria database).

Values from the calculation:
**Space group**: P6_3/mmc (194)
**Magnetization**: 0.1214 μB/atom
**Uncorrected energy**: -52.1 eV for the cell shown

Cell lengths 5.7782, 5.7782, 8.4591 Å; angles 90.00, 90.00, 120.00 degrees
Closest atoms and distances in Å follow each position.
Element x y z (fractional)
In  0.0000  0.0000  0.0000  6 Zn 2.80
In  0.0000  0.0000  0.5000  6 Zn 2.80
Pa  0.6667  0.3333  0.4090  1 Pa 2.69
Pa  0.3333  0.6667  0.5910  1 Pa 2.69
Pa  0.6667  0.3333  0.0910  1 Pa 2.69
Pa  0.3333  0.6667  0.9090  1 Pa 2.69
Zn  0.6331  0.8165  0.2500  2 Zn 2.60, 2 In 2.80
Zn  0.8165  0.1835  0.7500  2 Zn 2.60, 2 In 2.80
Zn  0.3669  0.1835  0.7500  2 Zn 2.60, 2 In 2.80
Zn  0.8165  0.6331  0.7500  2 Zn 2.60, 2 In 2.80
Zn  0.1835  0.8165  0.2500  2 Zn 2.60, 2 In 2.80
Zn  0.1835  0.3669  0.2500  2 Zn 2.60, 2 In 2.80



[3]
# H2S4F

A relaxed H2S4F crystal (GGA-PBE, the Alexandria database).

Values from the calculation:
**Space group**: P1 (1)
**Magnetization**: 0.1481 μB/atom
**Uncorrected energy**: -52.7 eV for the cell shown

Cell lengths 8.7286, 8.7239, 8.9124 Å; angles 90.57, 90.70, 150.66 degrees
Closest atoms and distances in Å follow each position.
Element x y z (fractional)
H  0.5667  0.9462  0.1384  1 S 1.38
H  0.6810  0.3424  0.8317  1 S 1.39
H  0.1958  0.3163  0.6388  1 S 1.38
H  0.5900  0.4287  0.3321  1 S 1.39
S  0.9955  0.6033  0.7990  1 H 1.39
S  0.1674  0.9366  0.9046  1 S 1.97
S  0.1838  0.9147  0.4052  1 S 1.97
S  0.8511  0.7434  0.2991  1 H 1.39
S  0.1233  0.4171  0.0341  1 F 1.69
S  0.6671  0.8732  0.5343  1 F 1.69
S  0.8448  0.2553  0.1891  1 H 1.38
S  0.5049  0.5943  0.6895  1 H 1.38
F  0.6186  0.0106  0.6019  1 S 1.69
F  0.2599  0.3678  0.1021  1 S 1.69



[4]
# BaP2HPd

A relaxed BaP2HPd crystal (GGA-PBE, the Alexandria database).

Values from the calculation:
**Space group**: P4/mmm (123)
**Magnetization**: 0.0000 μB/atom
**Uncorrected energy**: -21.8 eV for the cell shown

Cell lengths 4.8638, 4.1655, 4.8638 Å; angles 90.00, 90.00, 90.00 degrees
Closest atoms and distances in Å follow each position.
Element x y z (fractional)
Ba  0.5000  0.5000  0.5000  8 P 3.20, 4 H 3.44
Pd  0.0000  0.0000  0.0000  2 H 2.08
P  0.5000  0.0000  0.0000  2 Pd 2.43
P  0.0000  0.0000  0.5000  2 Pd 2.43
H  0.0000  0.5000  0.0000  2 Pd 2.08